Record 1
Density functional theory data (PBE) for crystalline NaPbO2 at its relaxed geometry.

Unit cell a=5.3609 b=5.3609 c=10.4856 alpha=90.00 beta=90.00 gamma=90.00
Space group I-42d (No. 122)
Unique sites:
1 Na 0.0000 0.0000 0.0000 [4 per cell]
2 Pb 0.0000 0.0000 0.5000 [4 per cell]
3 O 0.2231 0.2500 0.6250 [8 per cell]

Calculated values
As for the total energy: -4.89 eV per atom. As for the total magnetization: 0.00 μB/cell. As for the crystal system: tetragonal.

Record 2
Density functional theory data (PBE) for crystalline NaPbO2 at its relaxed geometry.

Unit cell a=9.5773 b=9.4959 c=11.7271 alpha=90.00 beta=90.65 gamma=90.00
Space group C2/c (No. 15)
Unique sites:
1 Na 0.1190 0.2394 0.1347 [8 per cell]
2 Na 0.1613 0.4112 0.3925 [8 per cell]
3 Pb 0.0099 0.0992 0.8840 [8 per cell]
4 Pb 0.1657 0.4075 0.6636 [8 per cell]
5 O 0.0000 0.0670 0.2500 [4 per cell]
6 O 0.0000 0.4587 0.2500 [4 per cell]
7 O 0.0267 0.2991 0.5314 [8 per cell]
8 O 0.1506 0.0263 0.0209 [8 per cell]
9 O 0.1609 0.1889 0.7529 [8 per cell]

Calculated values
As for the total energy: -4.89 eV per atom. As for the total magnetization: 0.00 μB/cell. As for the crystal system: monoclinic.

Record 3
Density functional theory data (PBE) for crystalline NaPb2O at its relaxed geometry.

Unit cell a=5.8906 b=5.8906 c=14.0900 alpha=90.00 beta=90.00 gamma=90.00
Space group I-42d (No. 122)
Unique sites:
1 Na 0.0000 0.0000 0.0000 [4 per cell]
2 Pb 0.1190 0.2500 0.6250 [8 per cell]
3 O 0.0000 0.0000 0.5000 [4 per cell]

Calculated values
As for the total energy: -3.68 eV per atom. As for the total magnetization: 0.00 μB/cell. As for the crystal system: tetragonal.

Values of ΔE_f (raw), in order: -1154; -1152; -254, all in meV per atom.